(1)
The following is a DFT calculation (PBE) of an optimized crystal structure of ReP2SeCl.

Output
Formation energy (no corrections), eV/f.u.: 2.7
ΔE to the lowest computed polymorph, meV/atom: 0.0
Calculated volume, Å³/f.u.: 102

Structure (POSCAR):
```
ReP2SeCl
1.0
4.668 0.000 0.000
0.000 4.668 0.000
0.000 0.000 4.672
Re P Se Cl
1 2 1 1
Cartesian
0.000 0.000 0.000
0.000 2.334 0.000
2.334 0.000 0.000
2.334 2.334 2.336
0.000 0.000 2.336
```

(2)
The following is a DFT calculation (PBE) of an optimized crystal structure of CeLuHg.

Output
ΔE to the lowest computed polymorph, meV/atom: 0.0
Energy of formation from the pure elements, eV/atom: -0.1026
Calculated volume, Å³/f.u.: 85

Structure (POSCAR):
```
CeLuHg
1.0
-1.882 -0.459 3.139
4.425 -0.233 2.620
-2.324 4.535 -0.730
Lu Hg Ce
1 1 1
Cartesian
-0.311 -0.076 0.519
-0.390 2.869 0.914
0.921 1.051 3.595
```

(3)
The following is a DFT calculation (PBE) of an optimized crystal structure of Cs3K4Tl2.

Output
Energy of formation from the pure elements, eV/atom: -0.0295
Calculated volume, Å³/f.u.: 610

Structure (POSCAR):
```
Cs3K4Tl2
1.0
-6.939 -7.602 0.082
8.576 -7.902 -6.826
5.862 -8.798 4.175
Cs K Tl
6 8 4
Cartesian
2.564 -14.623 -4.173
-0.091 -12.045 2.883
4.936 -9.679 1.603
7.590 -12.256 -5.453
1.840 -5.194 -2.825
5.660 -19.108 0.255
4.280 -9.460 -3.423
10.778 -14.809 -2.442
3.219 -14.841 0.854
-3.279 -9.493 -0.127
8.401 -10.605 -1.507
1.022 -8.471 0.127
-0.901 -13.696 -1.063
6.477 -15.830 -2.696
5.185 -12.513 -1.572
3.105 -5.519 1.094
2.314 -11.789 -0.998
4.394 -18.782 -3.663
```

(4)
The following is a DFT calculation (PBE) of an optimized crystal structure of Mg2PtCl.

Output
Formation energy (no corrections), eV/f.u.: -2.5
ΔE to the lowest computed polymorph, meV/atom: 379.3
Calculated volume, Å³/f.u.: 85

Structure (POSCAR):
```
Mg2PtCl
1.0
-6.477 -2.097 0.225
2.094 -6.481 -0.134
-2.053 -4.320 3.728
Mg Pt Cl
4 2 2
Cartesian
-4.285 -3.196 1.056
-0.029 -5.397 0.877
-3.179 -6.471 2.830
-5.380 -10.732 2.876
0.000 0.000 0.000
-5.361 -5.353 2.000
-2.192 -4.289 0.046
-1.076 -7.545 1.820
```

(5)
The following is a DFT calculation (PBE) of an optimized crystal structure of Na2Sr8Ca3.

Output
ΔE to the lowest computed polymorph, meV/atom: 0.0
Energy of formation from the pure elements, eV/atom: 0.0513
Calculated volume, Å³/f.u.: 647

Structure (POSCAR):
```
Na2Sr8Ca3
1.0
-1.010 6.007 0.369
-5.760 -1.415 7.275
6.172 0.402 10.329
Na Sr Ca
2 8 3
Cartesian
-1.774 2.227 9.342
1.176 2.767 8.631
0.649 -0.293 6.533
-0.238 -0.721 11.070
-4.405 4.931 8.593
3.808 0.063 9.380
-1.573 1.975 14.000
2.089 2.697 12.255
-2.687 2.296 5.718
0.975 3.019 3.973
-0.505 3.003 0.185
-1.121 -0.363 2.846
1.533 -0.650 14.758
```

(6)
The following is a DFT calculation (PBE) of an optimized crystal structure of SrCeMg14.

Output
ΔE to the lowest computed polymorph, meV/atom: 19.1
Energy of formation from the pure elements, eV/atom: 0.0747
Calculated volume, Å³/f.u.: 405

Structure (POSCAR):
```
SrCeMg14
1.0
3.289 -5.761 0.000
3.289 5.761 0.000
0.000 0.000 10.685
Sr Ce Mg
1 1 14
Cartesian
3.289 -1.883 5.343
3.289 4.021 5.343
3.289 3.790 0.000
3.289 -2.001 0.000
1.706 1.034 5.343
1.662 0.954 0.000
4.872 1.034 5.343
4.915 0.954 0.000
1.634 -0.960 8.185
1.634 -0.960 2.500
4.944 -0.960 8.185
4.944 -0.960 2.500
3.289 1.929 8.012
3.289 1.929 2.674
3.289 -3.960 8.058
3.289 -3.960 2.627
```

(7)
The following is a DFT calculation (PBE) of an optimized crystal structure of Nd2GaPd2.

Output
Energy of formation from the pure elements, eV/atom: -0.7828
Calculated volume, Å³/f.u.: 114

Structure (POSCAR):
```
Nd2GaPd2
1.0
-2.847 -0.922 -3.103
2.643 -2.247 -4.752
-2.940 -9.189 2.433
Nd Ga Pd
4 2 4
Cartesian
-2.030 -4.436 -2.809
-4.545 -9.607 -1.959
-1.115 -7.921 -2.613
1.401 -2.751 -3.463
-3.477 -6.751 -0.793
0.333 -5.606 -4.629
-1.189 -5.842 -0.168
-2.203 -10.568 -3.823
-1.956 -6.515 -5.254
-0.942 -1.790 -1.599
```

(8)
The following is a DFT calculation (PBE) of an optimized crystal structure of BaAc2Ga6.

Output
ΔE to the lowest computed polymorph, meV/atom: 0.0
Energy of formation from the pure elements, eV/atom: -0.5653
Calculated volume, Å³/f.u.: 245

Structure (POSCAR):
```
BaAc2Ga6
1.0
4.796 0.137 -0.188
-0.339 6.665 -3.781
0.302 -0.050 7.665
Ba Ac Ga
1 2 6
Cartesian
0.000 0.000 0.000
0.088 2.188 3.849
4.670 4.564 -0.154
2.387 2.293 1.212
2.372 4.459 2.483
2.597 0.035 4.993
2.475 4.442 5.061
2.586 2.260 6.298
2.162 6.717 -1.298
```

(9)
The following is a DFT calculation (PBE) of an optimized crystal structure of La2Ge3PIr4.

Output
Energy of formation from the pure elements, eV/atom: -0.8581
Calculated volume, Å³/f.u.: 187

Structure (POSCAR):
```
La2Ge3PIr4
1.0
-2.425 3.457 -0.878
-1.856 -2.130 -3.258
-7.084 -3.383 6.246
La Ge P Ir
2 3 1 4
Cartesian
-3.061 0.846 1.191
-6.164 -3.565 2.987
-3.542 -1.691 3.123
-7.357 -1.205 4.978
-1.868 -1.514 -0.800
-5.683 -1.028 1.055
-2.140 0.663 -2.068
0.000 0.000 0.000
-5.575 -0.355 3.407
-3.650 -2.365 0.770
```

(10)
The following is a DFT calculation (PBE) of an optimized crystal structure of LiTaCd2O6.

Output
Formation energy (no corrections), eV/f.u.: -15.2
Calculated volume, Å³/f.u.: 127

Structure (POSCAR):
```
LiTaCd2O6
1.0
-2.998 -3.936 2.150
1.802 -3.494 -3.884
6.637 -2.072 4.944
Li Ta Cd O
2 2 4 12
Cartesian
1.819 -3.004 3.547
0.901 -1.747 -1.942
-1.499 -1.968 1.075
4.219 -2.783 0.530
3.219 -3.950 -2.396
4.330 -5.580 2.678
2.221 -5.553 5.607
1.111 -3.922 0.533
0.968 -3.906 -1.732
2.880 -7.090 1.615
4.473 -5.597 4.943
2.561 -2.413 1.596
3.371 -4.510 0.006
5.319 -7.764 3.275
2.070 -4.993 3.205
0.121 -1.739 -0.064
0.359 -5.940 1.038
5.829 -6.274 1.028
5.082 -3.562 2.173
-0.388 -3.229 2.183
```

(11)
The following is a DFT calculation (PBE) of an optimized crystal structure of K2TmPaO6.

Output
Formation energy (no corrections), eV/f.u.: -25.8
Calculated volume, Å³/f.u.: 166

Structure (POSCAR):
```
K2TmPaO6
1.0
6.170 0.000 0.002
0.000 6.170 0.003
3.086 3.087 4.365
K Tm Pa O
2 1 1 6
Cartesian
3.086 6.171 2.185
6.171 3.085 2.185
3.085 3.085 0.003
0.000 0.000 0.000
1.517 4.653 0.003
7.740 7.740 4.369
3.085 3.086 2.220
7.739 4.603 4.367
1.517 1.517 0.002
6.171 6.171 2.151
```

(12)
The following is a DFT calculation (PBE) of an optimized crystal structure of Ba3Sr2Hg3.

Output
Energy of formation from the pure elements, eV/atom: -0.3892
Calculated volume, Å³/f.u.: 330

Structure (POSCAR):
```
Ba3Sr2Hg3
1.0
4.139 0.000 -0.667
-0.232 5.997 -1.442
0.017 0.020 13.289
Ba Sr Hg
3 2 3
Cartesian
1.520 2.328 9.436
2.404 3.689 1.744
2.069 0.000 -0.333
0.985 4.686 6.118
2.938 1.331 5.062
3.462 5.310 8.317
-0.116 2.998 -0.721
0.461 0.706 2.863
```

- Number 6 is which compound?
  SrCeMg14

Copy entry 3 word for word.
The following is a DFT calculation (PBE) of an optimized crystal structure of Cs3K4Tl2.

Output
Energy of formation from the pure elements, eV/atom: -0.0295
Calculated volume, Å³/f.u.: 610

Structure (POSCAR):
```
Cs3K4Tl2
1.0
-6.939 -7.602 0.082
8.576 -7.902 -6.826
5.862 -8.798 4.175
Cs K Tl
6 8 4
Cartesian
2.564 -14.623 -4.173
-0.091 -12.045 2.883
4.936 -9.679 1.603
7.590 -12.256 -5.453
1.840 -5.194 -2.825
5.660 -19.108 0.255
4.280 -9.460 -3.423
10.778 -14.809 -2.442
3.219 -14.841 0.854
-3.279 -9.493 -0.127
8.401 -10.605 -1.507
1.022 -8.471 0.127
-0.901 -13.696 -1.063
6.477 -15.830 -2.696
5.185 -12.513 -1.572
3.105 -5.519 1.094
2.314 -11.789 -0.998
4.394 -18.782 -3.663
```

- Number 11 is which compound?
  K2TmPaO6